[1]
This record from the Alexandria database describes BeTlTcPt2 at its PBEsol-relaxed geometry. The functional is meta-GGA SCAN.

Computed properties:
Total energy ... -48.316 eV/atom
DOS(E_F) ... 3.36 states/eV per cell

Geometry as CIF:
```
data_BeTlTcPt2
_chemical_formula_sum 'Be1 Tl1 Tc1 Pt2'
_cell_length_a 4.9426
_cell_length_b 4.9426
_cell_length_c 4.9734
_cell_angle_alpha 90.00
_cell_angle_beta 90.00
_cell_angle_gamma 90.00
_space_group_name_H-M_alt 'P 4/m m m'
_space_group_IT_number 123
_space_group_name_Hall '-P 4 2'
loop_
_atom_site_label
_atom_site_fract_x
_atom_site_fract_y
_atom_site_fract_z
Be1 0.0000 0.0000 0.0000
Tl1 0.5000 0.5000 0.5000
Tc1 0.5000 0.5000 0.0000
Pt1 0.0000 0.5000 0.5000
```


[2]
This record from the Alexandria database describes Li2TaBe at its PBEsol-relaxed geometry. The functional is meta-GGA SCAN.

Computed properties:
Total energy ... -18.442 eV/atom
DOS(E_F) ... 2.66 states/eV per cell

Geometry as CIF:
```
data_Li2TaBe
_chemical_formula_sum 'Li2 Ta1 Be1'
_cell_length_a 2.6486
_cell_length_b 2.6486
_cell_length_c 7.8776
_cell_angle_alpha 90.00
_cell_angle_beta 90.00
_cell_angle_gamma 90.00
_space_group_name_H-M_alt 'P 4/m m m'
_space_group_IT_number 123
_space_group_name_Hall '-P 4 2'
loop_
_atom_site_label
_atom_site_fract_x
_atom_site_fract_y
_atom_site_fract_z
Li1 0.0000 0.0000 0.2114
Ta1 0.5000 0.5000 0.5000
Be1 0.5000 0.5000 0.0000
```


[3]
This record from the Alexandria database describes Ba7TiN6 at its PBEsol-relaxed geometry. The functional is meta-GGA SCAN.

Computed properties:
Formation energy from raw total energies ... -0.84 eV per atom

Geometry as CIF:
```
data_Ba7TiN6
_chemical_formula_sum 'Ba28 Ti4 N24'
_cell_length_a 12.3597
_cell_length_b 6.9713
_cell_length_c 14.3907
_cell_angle_alpha 90.00
_cell_angle_beta 90.00
_cell_angle_gamma 90.00
_space_group_name_H-M_alt 'P b c n'
_space_group_IT_number 60
loop_
_space_group_symop_operation_xyz
'x,y,z'
'-x,-y,-z'
'-x+1/2,-y+1/2,z+1/2'
'x+1/2,y+1/2,-z+1/2'
'x+1/2,-y+1/2,-z'
'-x+1/2,y+1/2,z'
'-x,y,-z+1/2'
'x,-y,z+1/2'
loop_
_atom_site_label
_atom_site_fract_x
_atom_site_fract_y
_atom_site_fract_z
Ba1 0.0000 0.0712 0.2500
Ba2 0.0344 0.2429 0.5210
Ba3 0.2106 0.4009 0.1254
Ba4 0.2322 0.3286 0.8718
Ti1 0.0000 0.4222 0.7500
N1 0.0532 0.4179 0.3507
N2 0.1180 0.2546 0.7095
N3 0.1635 0.1005 0.0009
```


[4]
This record from the Alexandria database describes Ag2Rh3 at its PBEsol-relaxed geometry. The functional is meta-GGA SCAN.

Computed properties:
DOS(E_F) ... 9.62 states/eV per cell
Relative energy among the computed polymorphs ... 0.0 meV/atom

Geometry as CIF:
```
data_Ag2Rh3
_chemical_formula_sum 'Ag4 Rh6'
_cell_length_a 2.6971
_cell_length_b 2.6971
_cell_length_c 20.2329
_cell_angle_alpha 90.00
_cell_angle_beta 90.00
_cell_angle_gamma 90.00
_space_group_name_H-M_alt 'I 4/m m m'
_space_group_IT_number 139
_space_group_name_Hall '-I 4 2'
loop_
_atom_site_label
_atom_site_fract_x
_atom_site_fract_y
_atom_site_fract_z
Ag1 0.0000 0.0000 0.1023
Rh1 0.0000 0.0000 0.2933
Rh2 0.0000 0.0000 0.5000
```


[5]
This record from the Alexandria database describes LiTl5 at its PBEsol-relaxed geometry. The functional is meta-GGA SCAN.

Computed properties:
DOS(E_F) ... 2.42 states/eV per cell
Relative energy among the computed polymorphs ... 0.0 meV/atom

Geometry as CIF:
```
data_LiTl5
_chemical_formula_sum 'Li1 Tl5'
_cell_length_a 3.3781
_cell_length_b 3.3781
_cell_length_c 13.5332
_cell_angle_alpha 90.00
_cell_angle_beta 90.00
_cell_angle_gamma 90.00
_space_group_name_H-M_alt 'P 4/m m m'
_space_group_IT_number 123
_space_group_name_Hall '-P 4 2'
loop_
_atom_site_label
_atom_site_fract_x
_atom_site_fract_y
_atom_site_fract_z
Li1 0.0000 0.0000 0.0000
Tl1 0.0000 0.0000 0.3132
Tl2 0.5000 0.5000 0.1363
Tl3 0.5000 0.5000 0.5000
```


[6]
This record from the Alexandria database describes LiRhSe2 at its PBEsol-relaxed geometry. The functional is meta-GGA SCAN.

Computed properties:
Formation energy from raw total energies ... -0.54 eV per atom
DOS(E_F) ... 0.85 states/eV per cell

Geometry as CIF:
```
data_LiRhSe2
_chemical_formula_sum 'Li1 Rh1 Se2'
_cell_length_a 4.6015
_cell_length_b 3.6144
_cell_length_c 4.6714
_cell_angle_alpha 90.00
_cell_angle_beta 105.51
_cell_angle_gamma 90.00
_space_group_name_H-M_alt 'P 1 2/m 1'
_space_group_IT_number 10
loop_
_space_group_symop_operation_xyz
'x,y,z'
'-x,-y,-z'
'-x,y,-z'
'x,-y,z'
loop_
_atom_site_label
_atom_site_fract_x
_atom_site_fract_y
_atom_site_fract_z
Li1 0.0000 0.0000 0.0000
Rh1 0.5000 0.0000 0.5000
Se1 0.3119 0.5000 0.7413
```


Volume
In order: 24.299; 13.816; 22.142; 14.718; 25.739; 18.716
Unit: Å³/atom